# 1
{
  "formula": "RbMgNiBi",
  "functional": "GGA-PBE",
  "state": "optimized geometry",
  "magnetic_moment_mub_per_fu": 0.00,
  "crystal_system": "cubic",
  "dft_energy_ev_per_atom": -2.599,
  "space_group": "F-43m, No. 216",
  "density_g_cm3": 6.3,
  "cell": [[7.372, 0.000, 0.000], [0.000, 7.372, 0.000], [0.000, 0.000, 7.372]],
  "species": ["Rb", "Rb", "Rb", "Rb", "Mg", "Mg", "Mg", "Mg", "Ni", "Ni", "Ni", "Ni", "Bi", "Bi", "Bi", "Bi"],
  "frac_coords": [[0.000, 0.000, 0.000], [0.000, 0.500, 0.500], [0.500, 0.000, 0.500], [0.500, 0.500, 0.000], [0.250, 0.250, 0.250], [0.250, 0.750, 0.750], [0.750, 0.250, 0.750], [0.750, 0.750, 0.250], [0.000, 0.000, 0.500], [0.000, 0.500, 0.000], [0.500, 0.000, 0.000], [0.500, 0.500, 0.500], [0.250, 0.250, 0.750], [0.250, 0.750, 0.250], [0.750, 0.250, 0.250], [0.750, 0.750, 0.750]]
}

# 2
{
  "formula": "RbMgNiBi",
  "functional": "GGA-PBE",
  "state": "optimized geometry",
  "magnetic_moment_mub_per_fu": 0.02,
  "crystal_system": "cubic",
  "dft_energy_ev_per_atom": -2.646,
  "space_group": "F-43m, No. 216",
  "density_g_cm3": 6.2,
  "cell": [[7.376, 0.000, 0.000], [0.000, 7.376, 0.000], [0.000, 0.000, 7.376]],
  "species": ["Rb", "Rb", "Rb", "Rb", "Mg", "Mg", "Mg", "Mg", "Ni", "Ni", "Ni", "Ni", "Bi", "Bi", "Bi", "Bi"],
  "frac_coords": [[0.000, 0.000, 0.000], [0.000, 0.500, 0.500], [0.500, 0.000, 0.500], [0.500, 0.500, 0.000], [0.250, 0.250, 0.250], [0.250, 0.750, 0.750], [0.750, 0.250, 0.750], [0.750, 0.750, 0.250], [0.250, 0.250, 0.750], [0.250, 0.750, 0.250], [0.750, 0.250, 0.250], [0.750, 0.750, 0.750], [0.000, 0.000, 0.500], [0.000, 0.500, 0.000], [0.500, 0.000, 0.000], [0.500, 0.500, 0.500]]
}

# 3
{
  "formula": "MgScNiBi",
  "functional": "GGA-PBE",
  "state": "optimized geometry",
  "magnetic_moment_mub_per_fu": 0.00,
  "crystal_system": "cubic",
  "dft_energy_ev_per_atom": -4.414,
  "space_group": "F-43m, No. 216",
  "density_g_cm3": 7.0,
  "cell": [[6.839, 0.000, 0.000], [0.000, 6.839, 0.000], [0.000, 0.000, 6.839]],
  "species": ["Mg", "Mg", "Mg", "Mg", "Sc", "Sc", "Sc", "Sc", "Ni", "Ni", "Ni", "Ni", "Bi", "Bi", "Bi", "Bi"],
  "frac_coords": [[0.000, 0.000, 0.000], [0.000, 0.500, 0.500], [0.500, 0.000, 0.500], [0.500, 0.500, 0.000], [0.250, 0.250, 0.250], [0.250, 0.750, 0.750], [0.750, 0.250, 0.750], [0.750, 0.750, 0.250], [0.000, 0.000, 0.500], [0.000, 0.500, 0.000], [0.500, 0.000, 0.000], [0.500, 0.500, 0.500], [0.250, 0.250, 0.750], [0.250, 0.750, 0.250], [0.750, 0.250, 0.250], [0.750, 0.750, 0.750]]
}